[1]
A plane-wave DFT calculation with PBE was carried out for TcNiBr after structural relaxation.

a b c (Å): 3.6524 3.8783 8.8845
angles (deg): 86.11 79.94 89.98
With the nearest neighbours (Å) after each atom.
Atoms (fractional coordinates):
Tc1 0.0000 0.0000 0.0000  2 Tc 2.41-2.49, 6 Ni 2.56-2.69, 1 Br 2.67
Tc2 0.4050 0.9784 0.1869  2 Tc 2.41-2.49, 6 Ni 2.46-2.68
Ni1 0.4852 0.4993 0.0106  2 Ni 2.41-2.46, 6 Tc 2.46-2.69, 1 Br 2.49
Ni2 0.8978 0.4780 0.1949  1 Br 2.40, 2 Ni 2.41-2.46, 6 Tc 2.56-2.68
Br1 0.1533 0.5406 0.7884  1 Ni 2.49, 2 Tc 2.67-2.71
Br2 0.8191 0.0801 0.4177  1 Ni 2.40

Results
Energy relative to the elements, uncorrected = 39 meV per atom
Volume = 61.8 Å³/f.u.
SG = P1, No. 1
D(E_F) = 0.714 states/eV/atom

[2]
A plane-wave DFT calculation with PBE was carried out for TcNiBr after structural relaxation.

a b c (Å): 2.9284 2.9811 6.1711
angles (deg): 90.00 103.39 90.00
With the nearest neighbours (Å) after each atom.
Atoms (fractional coordinates):
Tc1 0.0000 0.0000 0.0000  4 Ni 2.53, 2 Br 2.54
Ni1 0.6158 0.5000 0.2378  1 Br 2.52, 4 Tc 2.53
Br1 0.8342 0.5000 0.6577  1 Ni 2.52, 2 Tc 2.54

Results
Energy relative to the elements, uncorrected = 552 meV per atom
Volume = 52.4 Å³/f.u.
SG = Pm, No. 6
D(E_F) = 1.013 states/eV/atom

[3]
A plane-wave DFT calculation with PBE was carried out for TcNiBr after structural relaxation.

a b c (Å): 3.0142 5.0606 8.4489
angles (deg): 79.71 80.78 89.39
With the nearest neighbours (Å) after each atom.
Atoms (fractional coordinates):
Tc1 0.0000 0.0000 0.0000  1 Tc 2.31, 4 Ni 2.45-2.55
Tc2 0.0445 0.4601 0.9830  1 Tc 2.31, 2 Ni 2.56-2.57
Ni1 0.4313 0.6763 0.1797  1 Br 2.40, 4 Tc 2.50-2.64, 2 Ni 2.53-2.54
Ni2 0.4340 0.1698 0.1982  1 Br 2.37, 4 Tc 2.45-2.62, 2 Ni 2.53-2.54
Br1 0.2919 0.3692 0.4344  2 Ni 2.37-2.40
Br2 0.6390 0.7780 0.7716  4 Tc 2.63-2.87

Results
Energy relative to the elements, uncorrected = 337 meV per atom
Volume = 62.6 Å³/f.u.
SG = P1, No. 1
D(E_F) = 1.149 states/eV/atom

[4]
A plane-wave DFT calculation with PBE was carried out for TcNi2Br after structural relaxation.

a b c (Å): 2.7300 2.8614 7.7060
angles (deg): 90.00 90.00 90.00
With the nearest neighbours (Å) after each atom.
Atoms (fractional coordinates):
Tc1 0.0000 0.0000 0.0000  8 Ni 2.59, 4 Tc 2.73-2.86
Ni1 0.5000 0.5000 0.2172  4 Tc 2.59, 2 Br 2.61, 4 Ni 2.73-2.86
Ni2 0.5000 0.5000 0.7828  4 Tc 2.59, 2 Br 2.61, 4 Ni 2.73-2.86
Br1 0.5000 0.0000 0.5000  4 Ni 2.61, 4 Br 2.73-2.86

Results
Energy relative to the elements, uncorrected = 409 meV per atom
Volume = 60.2 Å³/f.u.
SG = Pmmm, No. 47
D(E_F) = 1.241 states/eV/atom

[5]
A plane-wave DFT calculation with PBE was carried out for TcNiBr after structural relaxation.

a b c (Å): 4.0796 4.0797 9.0768
angles (deg): 78.27 77.20 60.01
With the nearest neighbours (Å) after each atom.
Atoms (fractional coordinates):
Tc1 0.0000 0.0000 0.0000  4 Ni 2.44-2.58, 3 Tc 2.67
Tc2 0.3841 0.3723 0.8573  6 Ni 2.36-2.64, 1 Br 2.49
Ni1 0.0982 0.0756 0.7226  4 Tc 2.44-2.64, 3 Br 2.69-2.70, 3 Ni 2.73
Ni2 0.7096 0.6997 0.8793  6 Tc 2.36-2.58
Br1 0.2697 0.2844 0.1791  4 Tc 2.83
Br2 0.4864 0.4495 0.5743  1 Tc 2.49, 3 Ni 2.69-2.70

Results
Energy relative to the elements, uncorrected = 138 meV per atom
Volume = 63.4 Å³/f.u.
SG = P1, No. 1
D(E_F) = 0.160 states/eV/atom

[6]
A plane-wave DFT calculation with PBE was carried out for TcNi2Br after structural relaxation.

a b c (Å): 8.0635 8.0635 8.0635
angles (deg): 20.78 20.78 20.78
With the nearest neighbours (Å) after each atom.
Atoms (fractional coordinates):
Tc1 0.0000 0.0000 0.0000  3 Ni 2.54, 3 Br 2.68
Ni1 0.2527 0.2527 0.2527  3 Ni 2.51, 3 Tc 2.54
Ni2 0.5072 0.5072 0.5072  3 Ni 2.51, 3 Br 2.63
Br1 0.7552 0.7552 0.7552  3 Ni 2.63, 3 Tc 2.68, 6 Br 2.91

Results
Energy relative to the elements, uncorrected = 617 meV per atom
Volume = 57.8 Å³/f.u.
SG = R3m, No. 160
D(E_F) = 1.743 states/eV/atom

[7]
A plane-wave DFT calculation with PBE was carried out for TcNi2Br after structural relaxation.

a b c (Å): 2.7783 2.7783 7.7231
angles (deg): 90.00 90.00 90.00
With the nearest neighbours (Å) after each atom.
Atoms (fractional coordinates):
Tc1 0.0000 0.0000 0.0000  8 Ni 2.60, 4 Tc 2.78
Ni1 0.5000 0.5000 0.2198  4 Tc 2.60, 4 Ni 2.78
Ni2 0.5000 0.5000 0.7802  4 Tc 2.60, 4 Ni 2.78
Br1 0.0000 0.0000 0.5000  4 Br 2.78, 8 Ni 2.92

Results
Energy relative to the elements, uncorrected = 493 meV per atom
Volume = 59.6 Å³/f.u.
SG = P4/mmm, No. 123
D(E_F) = 0.933 states/eV/atom

[8]
A plane-wave DFT calculation with PBE was carried out for TcNiBr after structural relaxation.

a b c (Å): 6.9123 6.5841 2.9641
angles (deg): 83.59 71.19 25.22
With the nearest neighbours (Å) after each atom.
Atoms (fractional coordinates):
Tc1 0.0000 0.0000 0.0000  2 Ni 2.43, 2 Br 2.72
Ni1 0.6508 0.6508 0.3492  2 Tc 2.43, 2 Br 2.64
Br1 0.3218 0.3218 0.6782  2 Ni 2.64, 2 Tc 2.72, 2 Br 2.95

Results
Energy relative to the elements, uncorrected = 814 meV per atom
Volume = 48.7 Å³/f.u.
SG = Fmm2, No. 42
D(E_F) = 1.373 states/eV/atom

[9]
A plane-wave DFT calculation with PBE was carried out for Tc4NiBr after structural relaxation.

a b c (Å): 5.1612 5.1612 5.1612
angles (deg): 60.00 60.00 60.00
With the nearest neighbours (Å) after each atom.
Atoms (fractional coordinates):
Tc1 0.1252 0.1252 0.1252  6 Tc 2.58
Tc2 0.1252 0.1252 0.6245  6 Tc 2.58
Tc3 0.1252 0.6245 0.1252  6 Tc 2.58
Tc4 0.6245 0.1252 0.1252  6 Tc 2.58
Ni1 0.5000 0.5000 0.5000  12 Tc 3.03, 4 Br 3.16
Br1 0.7500 0.7500 0.7500  12 Tc 3.03, 4 Ni 3.16

Results
Energy relative to the elements, uncorrected = 993 meV per atom
Volume = 97.2 Å³/f.u.
SG = F-43m, No. 216
D(E_F) = 1.497 states/eV/atom

[10]
A plane-wave DFT calculation with PBE was carried out for TcNi2Br after structural relaxation.

a b c (Å): 3.2002 3.2002 6.0623
angles (deg): 90.00 90.00 90.00
With the nearest neighbours (Å) after each atom.
Atoms (fractional coordinates):
Tc1 0.0000 0.0000 0.0000  8 Ni 2.58
Ni1 0.5000 0.5000 0.2034  1 Ni 2.47, 4 Tc 2.58
Ni2 0.5000 0.5000 0.7966  1 Ni 2.47, 4 Tc 2.58
Br1 0.0000 0.0000 0.5000  8 Ni 2.89, 2 Tc 3.03, 4 Br 3.20

Results
Energy relative to the elements, uncorrected = 573 meV per atom
Volume = 62.1 Å³/f.u.
SG = P4/mmm, No. 123
D(E_F) = 1.024 states/eV/atom

[11]
A plane-wave DFT calculation with PBE was carried out for TcNiBr after structural relaxation.

a b c (Å): 4.1723 4.1723 4.1723
angles (deg): 60.00 60.00 60.00
With the nearest neighbours (Å) after each atom.
Atoms (fractional coordinates):
Tc1 0.0000 0.0000 0.0000  4 Br 2.56, 4 Ni 2.56
Ni1 0.2500 0.2500 0.2500  4 Tc 2.56
Br1 0.7500 0.7500 0.7500  4 Tc 2.56

Results
Energy relative to the elements, uncorrected = 806 meV per atom
Volume = 51.4 Å³/f.u.
SG = F-43m, No. 216
D(E_F) = 0.439 states/eV/atom

[12]
A plane-wave DFT calculation with PBE was carried out for TcNiBr after structural relaxation.

a b c (Å): 6.4537 6.4537 6.4537
angles (deg): 153.64 153.64 37.62
With the nearest neighbours (Å) after each atom.
Atoms (fractional coordinates):
Tc1 0.0000 0.0000 0.0000  4 Ni 2.52, 4 Br 2.74
Ni1 0.6163 0.6163 0.0000  4 Tc 2.52
Br1 0.3536 0.3536 0.0000  4 Tc 2.74, 4 Br 2.94

Results
Energy relative to the elements, uncorrected = 640 meV per atom
Volume = 52.9 Å³/f.u.
SG = I4mm, No. 107
D(E_F) = 0.668 states/eV/atom